Entry 1:
MnSiP2 | Alexandria | PBE | optimized geometry; density = 4.5 g cm⁻³; formation energy without anion corrections = 0.255 eV per atom; symmetry = No. 44; crystal system = orthorhombic
1.0
4.733 0.114 -0.065
1.563 4.469 0.065
-2.606 -3.037 2.532
Mn Si P
1 1 2
Direct
0.246 0.746 0.500 Mn
0.523 0.523 0.000 Si
0.752 0.252 0.500 P
0.979 0.979 0.000 P

=====

Entry 2:
La2Tb5Y6 | Alexandria | PBE | optimized geometry; ΔH_f (0 K) = 101 meV/atom; density = 6.1 g cm⁻³; symmetry = No. 55; crystal system = orthorhombic
1.0
-3.295 -0.281 -1.438
1.345 -11.725 -0.788
-7.969 -2.170 18.681
Tb Y La
10 12 4
Direct
0.500 0.000 0.500 Tb
0.500 0.596 0.280 Tb
0.500 0.500 0.000 Tb
0.500 0.096 0.220 Tb
0.500 0.299 0.449 Tb
0.500 0.404 0.720 Tb
0.500 0.701 0.551 Tb
0.500 0.201 0.949 Tb
0.500 0.799 0.051 Tb
0.500 0.904 0.780 Tb
0.500 0.320 0.123 Y
0.500 0.180 0.623 Y
0.000 0.058 0.077 Y
0.000 0.942 0.923 Y
0.500 0.680 0.877 Y
0.500 0.820 0.377 Y
0.000 0.579 0.136 Y
0.000 0.421 0.864 Y
0.000 0.442 0.577 Y
0.000 0.558 0.423 Y
0.000 0.079 0.364 Y
0.000 0.921 0.636 Y
0.000 0.334 0.281 La
0.000 0.666 0.719 La
0.000 0.166 0.781 La
0.000 0.834 0.219 La

=====

Number 1: DOS at the Fermi energy 2.07 states/eV/cell, energy -24.393 eV per cell. Number 2: DOS at the Fermi energy 37.81 states/eV/cell, energy -140.961 eV per cell.